Entry 1:
# Zr2NbAu2

An optimized crystal structure of Zr2NbAu2 (GGA-PBE, Alexandria).

Output
* M_tot: 0.00 μB/cell
* energy of formation from the pure elements: -0.20 eV per atom
* E: -6.948 eV per atom
* E above lowest polymorph: 0.0000 eV per atom
* density: 10.91 Mg/m³

Lattice parameters (Å, degrees): 7.8575 7.8575 3.2995 90.00 90.00 90.00
Space group P4/mbm (No. 127)
Asymmetric unit:
Zr  0.1748  0.3252  0.0000
Nb  0.0000  0.0000  0.5000
Au  0.1260  0.6260  0.5000

=====

Entry 2:
# Zr4NbAu2

An optimized crystal structure of Zr4NbAu2 (GGA-PBE, Alexandria).

Output
* M_tot: 0.00 μB/cell
* energy of formation from the pure elements: -0.14 eV per atom
* E: -7.396 eV per atom
* density: 9.17 Mg/m³

Lattice parameters (Å, degrees): 6.9391 9.3986 4.7279 90.00 90.00 90.00
Space group Cmmm (No. 65)
Asymmetric unit:
Zr  0.2466  0.0000  0.0000
Zr  0.2500  0.2500  0.5000
Nb  0.0000  0.5000  0.5000
Au  0.0000  0.2483  0.0000

=====

Entry 3:
# ZrNb3Au

An optimized crystal structure of ZrNb3Au (GGA-PBE, Alexandria).

Output
* M_tot: 0.00 μB/cell
* energy of formation from the pure elements: 1.36 eV per atom
* E: -7.048 eV per atom
* E above lowest polymorph: 0.0000 eV per atom
* density: 7.68 Mg/m³

Lattice parameters (Å, degrees): 4.9673 4.9673 4.9673 90.00 90.00 90.00
Space group Pm-3m (No. 221)
Asymmetric unit:
Zr  0.0000  0.0000  0.0000
Nb  0.0000  0.5000  0.5000
Au  0.5000  0.5000  0.5000

=====

Entry 4:
# Zr4NbAu3

An optimized crystal structure of Zr4NbAu3 (GGA-PBE, Alexandria).

Output
* M_tot: 0.01 μB/cell
* energy of formation from the pure elements: -0.37 eV per atom
* E: -7.127 eV per atom
* density: 10.74 Mg/m³

Lattice parameters (Å, degrees): 3.3634 3.3634 14.3355 90.00 90.00 90.00
Space group P4/mmm (No. 123)
Asymmetric unit:
Zr  0.0000  0.0000  0.1197
Zr  0.0000  0.0000  0.3729
Nb  0.5000  0.5000  0.0000
Au  0.5000  0.5000  0.2434
Au  0.5000  0.5000  0.5000

=====

Entry 5:
# ZrNb2Au

An optimized crystal structure of ZrNb2Au (GGA-PBE, Alexandria).

Output
* M_tot: 0.00 μB/cell
* energy of formation from the pure elements: 0.09 eV per atom
* E: -7.899 eV per atom
* E above lowest polymorph: 0.0000 eV per atom
* density: 10.45 Mg/m³

Lattice parameters (Å, degrees): 6.7036 6.7036 6.7036 90.00 90.00 90.00
Space group Fm-3m (No. 225)
Asymmetric unit:
Zr  0.0000  0.0000  0.0000
Nb  0.2500  0.2500  0.2500
Au  0.0000  0.0000  0.5000

=====

Entry 6:
# ZrNb3Au

An optimized crystal structure of ZrNb3Au (GGA-PBE, Alexandria).

Output
* M_tot: 0.00 μB/cell
* energy of formation from the pure elements: 1.60 eV per atom
* E: -6.807 eV per atom
* E above lowest polymorph: 0.2403 eV per atom
* density: 8.17 Mg/m³

Lattice parameters (Å, degrees): 4.8666 4.8666 4.8666 90.00 90.00 90.00
Space group Pm-3m (No. 221)
Asymmetric unit:
Zr  0.0000  0.0000  0.0000
Nb  0.0000  0.0000  0.5000
Au  0.5000  0.5000  0.5000

=====

What did the fourth record say?
# Zr4NbAu3

An optimized crystal structure of Zr4NbAu3 (GGA-PBE, Alexandria).

Output
* M_tot: 0.01 μB/cell
* energy of formation from the pure elements: -0.37 eV per atom
* E: -7.127 eV per atom
* density: 10.74 Mg/m³

Lattice parameters (Å, degrees): 3.3634 3.3634 14.3355 90.00 90.00 90.00
Space group P4/mmm (No. 123)
Asymmetric unit:
Zr  0.0000  0.0000  0.1197
Zr  0.0000  0.0000  0.3729
Nb  0.5000  0.5000  0.0000
Au  0.5000  0.5000  0.2434
Au  0.5000  0.5000  0.5000

=====

Among the records above, which one has the lowest density? number 3

=====

Number 6 is which compound? ZrNb3Au